# LiZnNi4

A crystal of LiZnNi4 relaxed with PBEsol (SCAN, Alexandria via LeMat-Bulk).

Cell: 4.6222 4.6222 4.6222 Å, 60.00 60.00 60.00°
Last column: nearest neighbours and their distance in Å.
Fractional positions:
1 Ni 0.3751 0.3751 0.8748  6 Ni 2.31
2 Ni 0.3751 0.3751 0.3751  6 Ni 2.31
3 Ni 0.3751 0.8748 0.3751  6 Ni 2.31
4 Ni 0.8748 0.3751 0.3751  6 Ni 2.31
5 Zn 0.7500 0.7500 0.7500  12 Ni 2.71, 4 Li 2.83
6 Li 0.0000 0.0000 0.0000  12 Ni 2.71, 4 Zn 2.83

Properties
- DFT total energy: -80.58 eV for the cell shown
- M_tot: 0.00 μB/cell
- Density of states at the Fermi level: 4.811 states/eV/cell
- Space group: F-43m (216)
- Mass density: 7.303 g cm⁻³
- Energy relative to the elements: 3.1 meV/atom